1.
4
Lattice="2.5268 0.0000 0.0000 0.0000 3.9588 0.0000 -1.0883 0.0000 4.7357" Properties=species:S:1:pos:R:3 comment="Mn2CoMo | Alexandria | PBEsol | relaxed" total_energy_ev_per_atom=-9.570 sg="No. 6" total_magnetization_mub_per_cell=3.91 e_form_mev_per_atom=187 crystal_system=monoclinic pbc="T T T"
Mn 0.0000 0.0000 0.0000
Mn -0.1816 1.9794 3.6768
Co 0.6394 0.0000 2.5161
Mo 1.6494 1.9794 1.2951

***

2.
4
Lattice="2.9226 -4.1038 0.0000 2.9226 4.1038 0.0000 0.0000 0.0000 3.2038" Properties=species:S:1:pos:R:3 comment="Zr2ZnCd | Alexandria | PBEsol | relaxed" total_energy_ev_per_atom=-5.417 sg="No. 65" total_magnetization_mub_per_cell=0.00 e_form_mev_per_atom=-177 de_polymorph_ev_per_atom=0.019 crystal_system=orthorhombic pbc="T T T"
Zr 1.4613 2.0519 0.0000
Zr 1.4613 -2.0519 0.0000
Zn 0.0000 0.0000 1.6019
Cd 2.9226 0.0000 1.6019

***

3.
5
Lattice="5.3417 0.0000 0.0000 0.0000 5.3417 0.0000 0.0000 0.0000 5.1264" Properties=species:S:1:pos:R:3 comment="CaScSe2Br | Alexandria | PBEsol | relaxed" total_energy_ev_per_atom=-4.257 raw_formation_energy_ev_per_atom=-0.60 sg="No. 123" total_magnetization_mub_per_cell=0.13 crystal_system=tetragonal pbc="T T T"
Ca 0.0000 0.0000 0.0000
Sc 2.6709 2.6709 2.5632
Se 0.0000 2.6709 0.0000
Se 2.6709 0.0000 0.0000
Br 0.0000 0.0000 2.5632